Run A
The following is a PBE calculation of a relaxed structure of Ba2CuOsS6, from OQMD via LeMat-Bulk.

## Properties
- magnetization (μB/cell) = 0.4
- density (g cm⁻³) = 5.50

abc: 6.7524 6.7524 6.7524
angles: 60.00 60.00 60.00
With the nearest neighbours (Å) after each atom.
Positions (direct):
Ba  0.2500  0.2500  0.2500  12 S 3.38
Ba  0.7500  0.7500  0.7500  12 S 3.38
Cu  0.0000  0.0000  0.0000  6 S 2.40
Os  0.5000  0.5000  0.5000  6 S 2.38
S  0.2511  0.2511  0.7489  1 Os 2.38, 1 Cu 2.40
S  0.2511  0.7489  0.2511  1 Os 2.38, 1 Cu 2.40
S  0.2511  0.7489  0.7489  1 Os 2.38, 1 Cu 2.40
S  0.7489  0.2511  0.2511  1 Os 2.38, 1 Cu 2.40
S  0.7489  0.2511  0.7489  1 Os 2.38, 1 Cu 2.40
S  0.7489  0.7489  0.2511  1 Os 2.38, 1 Cu 2.40



Run B
The following is a PBE calculation of a relaxed structure of Ba2CuOsS6, from OQMD via LeMat-Bulk.

## Properties
- magnetization (μB/cell) = 0.9
- density (g cm⁻³) = 5.16

abc: 7.0146 7.0146 7.0146
angles: 57.86 57.86 57.86
With the nearest neighbours (Å) after each atom.
Positions (direct):
Ba  0.0000  0.0000  0.0000  12 S 3.34-3.58
Ba  0.4868  0.4868  0.4868  1 Cu 3.17, 9 S 3.21-3.43
Cu  0.6681  0.6681  0.6681  3 S 2.17
Os  0.2280  0.2280  0.2280  3 S 2.24
S  0.0040  0.9966  0.5104  1 Os 2.24
S  0.0352  0.4733  0.4899  1 Cu 2.17
S  0.4733  0.4899  0.0352  1 Cu 2.17
S  0.4899  0.0352  0.4733  1 Cu 2.17
S  0.5104  0.0040  0.9966  1 Os 2.24
S  0.9966  0.5104  0.0040  1 Os 2.24



Relative energies, eV/atom: run A 0.076; run B 0.000.



Run A
The following is a PBE calculation of a relaxed structure of BaCuSbPd, from OQMD via LeMat-Bulk.

## Properties
- density (g cm⁻³) = 7.13

abc: 5.2091 5.2091 5.2091
angles: 60.00 60.00 60.00
With the nearest neighbours (Å) after each atom.
Positions (direct):
Ba  0.0000  0.0000  0.0000  4 Pd 3.19, 4 Sb 3.19
Cu  0.5000  0.5000  0.5000  4 Sb 3.19, 4 Pd 3.19
Sb  0.2500  0.2500  0.2500  4 Ba 3.19, 4 Cu 3.19
Pd  0.7500  0.7500  0.7500  4 Ba 3.19, 4 Cu 3.19



Run B
The following is a PBE calculation of a relaxed structure of BaCuSbPd, from OQMD via LeMat-Bulk.

## Properties
- density (g cm⁻³) = 7.61

abc: 5.0975 5.0975 5.0975
angles: 60.00 60.00 60.00
With the nearest neighbours (Å) after each atom.
Positions (direct):
Ba  0.0000  0.0000  0.0000  4 Cu 3.12, 4 Pd 3.12
Cu  0.7500  0.7500  0.7500  4 Sb 3.12, 4 Ba 3.12
Sb  0.5000  0.5000  0.5000  4 Cu 3.12, 4 Pd 3.12
Pd  0.2500  0.2500  0.2500  4 Sb 3.12, 4 Ba 3.12



Run C
The following is a PBE calculation of a relaxed structure of BaCuSbPd, from OQMD via LeMat-Bulk.

## Properties
- density (g cm⁻³) = 7.32

abc: 5.1633 5.1633 5.1633
angles: 60.00 60.00 60.00
With the nearest neighbours (Å) after each atom.
Positions (direct):
Ba  0.0000  0.0000  0.0000  4 Sb 3.16, 4 Cu 3.16
Cu  0.2500  0.2500  0.2500  4 Pd 3.16, 4 Ba 3.16
Sb  0.7500  0.7500  0.7500  4 Pd 3.16, 4 Ba 3.16
Pd  0.5000  0.5000  0.5000  4 Sb 3.16, 4 Cu 3.16



Relative energies, eV/atom: run A 0.258; run B 0.000; run C 0.175.



Run A
The following is a PBE calculation of a relaxed structure of BaTaCuPd, from OQMD via LeMat-Bulk.

## Properties
- magnetization (μB/cell) = 1.7
- density (g cm⁻³) = 9.20

abc: 4.9943 4.9943 4.9943
angles: 60.00 60.00 60.00
With the nearest neighbours (Å) after each atom.
Positions (direct):
Ba  0.0000  0.0000  0.0000  4 Cu 3.06, 4 Pd 3.06
Ta  0.5000  0.5000  0.5000  4 Cu 3.06, 4 Pd 3.06
Cu  0.7500  0.7500  0.7500  4 Ba 3.06, 4 Ta 3.06
Pd  0.2500  0.2500  0.2500  4 Ba 3.06, 4 Ta 3.06



Run B
The following is a PBE calculation of a relaxed structure of BaTaCuPd, from OQMD via LeMat-Bulk.

## Properties
- magnetization (μB/cell) = 0.0
- density (g cm⁻³) = 10.23

abc: 4.8207 4.8207 4.8207
angles: 60.00 60.00 60.00
With the nearest neighbours (Å) after each atom.
Positions (direct):
Ba  0.0000  0.0000  0.0000  4 Pd 2.95, 4 Ta 2.95
Ta  0.2500  0.2500  0.2500  4 Ba 2.95, 4 Cu 2.95
Cu  0.5000  0.5000  0.5000  4 Ta 2.95, 4 Pd 2.95
Pd  0.7500  0.7500  0.7500  4 Ba 2.95, 4 Cu 2.95



Run C
The following is a PBE calculation of a relaxed structure of BaTaCuPd, from OQMD via LeMat-Bulk.

## Properties
- magnetization (μB/cell) = 0.0
- density (g cm⁻³) = 10.17

abc: 4.8305 4.8305 4.8305
angles: 60.00 60.00 60.00
With the nearest neighbours (Å) after each atom.
Positions (direct):
Ba  0.0000  0.0000  0.0000  4 Ta 2.96, 4 Cu 2.96
Ta  0.7500  0.7500  0.7500  4 Ba 2.96, 4 Pd 2.96
Cu  0.2500  0.2500  0.2500  4 Ba 2.96, 4 Pd 2.96
Pd  0.5000  0.5000  0.5000  4 Ta 2.96, 4 Cu 2.96



Relative energies, eV/atom: run A 0.000; run B 0.153; run C 0.031.



Run A
The following is a PBE calculation of a relaxed structure of Ba8CuSi16, from OQMD via LeMat-Bulk.

## Properties
- density (g cm⁻³) = 3.62

abc: 6.8518 9.0430 11.9657
angles: 89.09 89.16 85.80
With the nearest neighbours (Å) after each atom.
Positions (direct):
Ba  0.0000  0.0000  0.0000  3 Si 3.07-3.39
Ba  0.0105  0.2982  0.2672  7 Si 3.34-3.71
Ba  0.0508  0.7811  0.3586  1 Cu 3.26, 6 Si 3.33-3.46
Ba  0.4146  0.2604  0.8551  4 Si 3.01-3.33
Ba  0.4489  0.1187  0.4781  1 Cu 3.31, 8 Si 3.37-3.64
Ba  0.4723  0.7814  0.7838  7 Si 3.21-3.59, 1 Cu 3.23
Ba  0.5290  0.6360  0.1531  10 Si 3.43-3.77
Ba  0.9210  0.4542  0.6508  6 Si 3.29-3.67
Cu  0.7481  0.8399  0.5684  3 Si 2.27-2.42
Si  0.0265  0.6162  0.1109  3 Si 2.38-2.48
Si  0.0589  0.8555  0.6345  1 Cu 2.30, 2 Si 2.36-2.52
Si  0.1043  0.0912  0.7078  3 Si 2.36-2.44
Si  0.2031  0.5787  0.9394  3 Si 2.38-2.45
Si  0.3362  0.0073  0.2206  3 Si 2.40-2.45
Si  0.3852  0.4882  0.4102  2 Si 2.35-2.37
Si  0.4197  0.4777  0.6051  2 Si 2.35-2.42
Si  0.5076  0.2210  0.1545  3 Si 2.44-2.47
Si  0.5108  0.9919  0.0449  3 Si 2.40-2.47
Si  0.5444  0.6793  0.4970  1 Cu 2.27, 2 Si 2.37-2.42
Si  0.6880  0.9940  0.2191  3 Si 2.40-2.44
Si  0.6979  0.4932  0.8950  2 Si 2.31-2.38
Si  0.7668  0.0466  0.6933  3 Si 2.39-2.64, 1 Cu 2.42
Si  0.8695  0.6965  0.9323  3 Si 2.31-2.48
Si  0.9570  0.0870  0.5233  3 Si 2.44-2.52
Si  0.9746  0.3973  0.9980  3 Si 2.38-2.46



Run B
The following is a PBE calculation of a relaxed structure of Ba8CuSi16, from OQMD via LeMat-Bulk.

## Properties
- density (g cm⁻³) = 3.61

abc: 6.9336 9.2222 11.6624
angles: 89.22 87.59 84.61
With the nearest neighbours (Å) after each atom.
Positions (direct):
Ba  0.0000  0.0000  0.0000  8 Si 3.31-3.63
Ba  0.0065  0.4524  0.6915  1 Cu 3.09, 3 Si 3.34-3.40
Ba  0.0184  0.6548  0.2831  7 Si 3.28-3.66
Ba  0.4621  0.3031  0.1764  8 Si 3.32-3.59
Ba  0.5087  0.6447  0.8997  7 Si 3.34-3.55, 1 Cu 3.73
Ba  0.5167  0.1621  0.7960  6 Si 3.33-3.53
Ba  0.5303  0.8866  0.4930  1 Cu 2.98, 1 Si 3.29
Ba  0.9305  0.1358  0.3852  2 Si 3.01-3.34
Cu  0.2841  0.6812  0.6149  4 Si 2.35-2.40
Si  0.0112  0.8452  0.5660  1 Cu 2.39, 3 Si 2.41-2.54
Si  0.1152  0.4396  0.9815  2 Si 2.32-2.40
Si  0.1856  0.8611  0.7515  1 Cu 2.35, 3 Si 2.41-2.54
Si  0.2035  0.3650  0.4200  2 Si 2.31-2.41
Si  0.3086  0.9630  0.2325  3 Si 2.41-2.44
Si  0.3910  0.5556  0.4464  3 Si 2.31-2.58, 1 Cu 2.35
Si  0.4896  0.9535  0.0502  3 Si 2.39-2.50
Si  0.4909  0.7366  0.1806  3 Si 2.41-2.50
Si  0.4985  0.2864  0.5137  4 Si 2.41-2.64
Si  0.5335  0.4865  0.6429  1 Cu 2.40, 3 Si 2.43-2.58
Si  0.6627  0.9443  0.2233  3 Si 2.39-2.44
Si  0.7249  0.4718  0.4613  3 Si 2.38-2.48
Si  0.8176  0.3375  0.9468  2 Si 2.40
Si  0.8348  0.8539  0.7491  3 Si 2.41-2.46
Si  0.9512  0.3329  0.1331  2 Si 2.32-2.40
Si  0.9903  0.0698  0.6798  3 Si 2.41-2.47



Run C
The following is a PBE calculation of a relaxed structure of Ba8CuSi16, from OQMD via LeMat-Bulk.

## Properties
- density (g cm⁻³) = 3.64

abc: 6.6654 9.6729 11.4572
angles: 87.55 87.89 84.85
With the nearest neighbours (Å) after each atom.
Positions (direct):
Ba  0.0000  0.0000  0.0000  7 Si 3.38-3.76
Ba  0.0156  0.6612  0.7244  3 Si 3.08-3.41
Ba  0.0355  0.4705  0.1288  7 Si 3.32-3.68, 2 Cu 3.37-3.42
Ba  0.4182  0.9603  0.6192  5 Si 3.04-3.39
Ba  0.4819  0.8402  0.2236  1 Cu 3.24, 9 Si 3.36-3.54
Ba  0.5000  0.4953  0.4589  9 Si 3.25-3.63
Ba  0.5286  0.3344  0.8885  1 Cu 3.29, 8 Si 3.32-3.67
Ba  0.9397  0.1288  0.3990  8 Si 3.31-3.67
Cu  0.5238  0.5364  0.1125  3 Si 2.33-2.45
Si  0.0352  0.3178  0.8404  3 Si 2.45-2.48
Si  0.1482  0.7858  0.4520  3 Si 2.40-2.41
Si  0.2224  0.2922  0.6524  3 Si 2.46-2.53
Si  0.3168  0.1703  0.1540  2 Si 2.30-2.44
Si  0.3232  0.6897  0.9765  3 Si 2.40-2.50, 1 Cu 2.45
Si  0.4380  0.1657  0.3394  2 Si 2.30-2.42
Si  0.4978  0.8922  0.9162  3 Si 2.42-2.50
Si  0.5148  0.6827  0.7948  3 Si 2.40-2.50
Si  0.5914  0.3121  0.1919  1 Cu 2.33, 2 Si 2.42-2.44
Si  0.6364  0.2225  0.6220  2 Si 2.33-2.50
Si  0.6998  0.6811  0.9710  3 Si 2.40-2.50, 1 Cu 2.43
Si  0.7861  0.7978  0.4546  3 Si 2.40-2.44
Si  0.8625  0.3851  0.6561  4 Si 2.33-2.55
Si  0.9562  0.1318  0.7160  4 Si 2.45-2.55
Si  0.9790  0.8022  0.2693  3 Si 2.41-2.47
Si  0.9809  0.5894  0.3964  3 Si 2.40-2.47



Relative energies, eV/atom: run A 0.028; run B 0.014; run C 0.000.



Run A
The following is a PBE calculation of a relaxed structure of BaTbCu, from OQMD via LeMat-Bulk.

## Properties
- magnetization (μB/cell) = 0.0
- density (g cm⁻³) = 6.30

abc: 5.1186 5.1186 5.1186
angles: 60.00 60.00 60.00
With the nearest neighbours (Å) after each atom.
Positions (direct):
Ba  0.0000  0.0000  0.0000  4 Tb 3.13, 4 Cu 3.13
Tb  0.2500  0.2500  0.2500  4 Ba 3.13
Cu  0.7500  0.7500  0.7500  4 Ba 3.13



Run B
The following is a PBE calculation of a relaxed structure of BaTbCu, from OQMD via LeMat-Bulk.

## Properties
- magnetization (μB/cell) = 0.3
- density (g cm⁻³) = 5.95

abc: 5.2173 5.2173 5.2173
angles: 60.00 60.00 60.00
With the nearest neighbours (Å) after each atom.
Positions (direct):
Ba  0.0000  0.0000  0.0000  4 Cu 3.19
Tb  0.5000  0.5000  0.5000  4 Cu 3.19
Cu  0.2500  0.2500  0.2500  4 Ba 3.19, 4 Tb 3.19



Relative energies, eV/atom: run A 0.587; run B 0.000.